Here is an optimized crystal structure of MnVNiRu from Alexandria. Energies are from PBE.

Uncorrected energy   -33.58 eV/cell

Unit cell a=4.1919 b=4.1919 c=4.1919 alpha=60.00 beta=60.00 gamma=60.00
Element x y z (fractional)
Ru: 0.7500 0.7500 0.7500
V: 0.0000 0.0000 0.0000
Mn: 0.5000 0.5000 0.5000
Ni: 0.2500 0.2500 0.2500